a | {"formula": "LaHfFeO2", "functional": "PBE with a Hubbard U", "state": "relaxed", "magmom_total_mub_per_fu": 2.07, "volume_a3_per_fu": 106.2, "dos_at_fermi_per_ev_atom": 1.06, "lattice_angstrom": [[4.4287, 0.0000, 0.0000], [0.0000, 5.4128, 0.0000], [0.0000, 0.0000, 4.4287]], "species": ["Hf", "Fe", "O", "O", "La"], "fractional_positions": [[0.5000, 0.5000, 0.5000], [0.0000, 0.5000, 0.0000], [0.0000, 0.0000, 0.5000], [0.5000, 0.0000, 0.0000], [0.0000, 0.0000, 0.0000]]}

b | {"formula": "LaHfFeO2", "functional": "PBE with a Hubbard U", "state": "relaxed", "magmom_total_mub_per_fu": 1.83, "volume_a3_per_fu": 82.1, "dos_at_fermi_per_ev_atom": 0.57, "lattice_angstrom": [[-3.6057, -2.2157, -0.7133], [2.3933, -3.3344, -1.7405], [0.3316, -1.7907, 3.8863]], "species": ["Hf", "Fe", "O", "O", "La"], "fractional_positions": [[0.0000, 0.5000, 0.0000], [0.0000, 0.0000, 0.0000], [0.0000, 0.0000, 0.5000], [0.5000, 0.0000, 0.0000], [0.5000, 0.5000, 0.5000]]}

Which structure is most stable? a, by 81 meV per atom over the runner-up.